ScAlAu PBE-GGA relaxed; ΔH_f (0 K) = -0.765 eV per atom
1.0
-2.114 0.947 6.795
-4.851 -1.378 -5.109
0.766 -7.407 1.271
Sc Al Au
6 6 6
Direct
0.586 0.987 0.750
0.013 0.599 0.750
0.401 0.414 0.750
0.987 0.586 0.250
0.599 0.013 0.250
0.414 0.401 0.250
0.743 0.743 0.000
0.257 0.000 0.000
0.000 0.257 0.000
0.743 0.743 0.500
0.257 0.000 0.500
0.000 0.257 0.500
0.000 0.000 0.750
0.000 0.000 0.250
0.667 0.333 0.983
0.667 0.333 0.517
0.333 0.667 0.483
0.333 0.667 0.017